First-principles (PBE) data for a relaxed structure of Pa2Ni9Pd, as listed in Alexandria.

Values from the calculation:
Distance to the lowest polymorph of the same formula (meV per atom): 0
Space-group type: P4/mmm (123)
D(E_F) (states/eV per cell): 8.41
Formation energy from the elements (meV/atom): -265
Volume (Å³ per atom): 13.6

Structure (POSCAR):
```
Pa2Ni9Pd
1.0
3.842 0.000 0.000
0.000 3.842 0.000
0.000 0.000 11.093
Pa Ni Pd
2 9 1
Direct
0.000 0.000 0.182
0.000 0.000 0.818
0.000 0.500 0.000
0.000 0.500 0.340
0.000 0.500 0.660
0.500 0.000 0.000
0.500 0.000 0.340
0.500 0.000 0.660
0.500 0.500 0.167
0.500 0.500 0.500
0.500 0.500 0.833
0.000 0.000 0.500
```